# SrTePt2

An optimized crystal structure of SrTePt2 (GGA-PBE, Alexandria).

## Properties
- E_form (uncorrected) (eV per atom) = -0.548

Cell lengths 5.276, 5.276, 9.451 Å; angles 73.79, 73.79, 90.00 degrees
Fractional positions:
Sr: 0.250 0.750 0.500
Sr: 0.500 0.500 0.000
Pt: 0.875 0.081 0.750
Pt: 0.375 0.169 0.750
Pt: 0.919 0.625 0.250
Pt: 0.831 0.125 0.250
Te: 0.750 0.250 0.500
Te: 0.000 0.000 0.000